No. 1
! Ac6PtO12 (PBE-GGA, relaxed); values from VASP
! Space-group type = R-3
! Uncorrected energy = -0.5496 Ry/atom
! Raw formation energy = -2731 meV/atom
! Magnetization = 2.15 Bohr magnetons per cell
&SYSTEM
  ibrav = 0, nat = 19, ntyp = 3
/
ATOMIC_SPECIES
Ac 227.00 Ac.upf
Pt 195.08 Pt.upf
O 16.00 O.upf
CELL_PARAMETERS angstrom
5.347 3.087 3.427
-5.347 3.087 3.427
0.000 -6.174 3.427
ATOMIC_POSITIONS crystal
Ac 0.105 0.643 0.800
Ac 0.200 0.895 0.357
Ac 0.357 0.200 0.895
Ac 0.643 0.800 0.105
Ac 0.800 0.105 0.643
Ac 0.895 0.357 0.200
Pt 0.500 0.500 0.500
O 0.053 0.322 0.905
O 0.095 0.947 0.678
O 0.218 0.532 0.437
O 0.322 0.905 0.053
O 0.437 0.218 0.532
O 0.468 0.563 0.782
O 0.532 0.437 0.218
O 0.563 0.782 0.468
O 0.678 0.095 0.947
O 0.782 0.468 0.563
O 0.905 0.053 0.322
O 0.947 0.678 0.095

---

No. 2
! Ac2PtO (PBE-GGA, relaxed); values from VASP
! Space-group type = P4/mmm
! Uncorrected energy = -0.4510 Ry/atom
! Energy above the most stable polymorph in this dataset = 1.98 eV/f.u.
! Raw formation energy = -1332 meV/atom
! Magnetization = 0.00 Bohr magnetons per cell
&SYSTEM
  ibrav = 0, nat = 4, ntyp = 3
/
ATOMIC_SPECIES
Ac 227.00 Ac.upf
Pt 195.08 Pt.upf
O 16.00 O.upf
CELL_PARAMETERS angstrom
3.516 0.000 0.000
0.000 3.516 0.000
0.000 0.000 7.409
ATOMIC_POSITIONS crystal
Ac 0.000 0.000 0.232
Ac 0.000 0.000 0.768
Pt 0.500 0.500 0.500
O 0.500 0.500 0.000

---

No. 3
! Ac5Pt2O12 (PBE-GGA, relaxed); values from VASP
! Space-group type = C2/m
! Uncorrected energy = -0.5370 Ry/atom
! Raw formation energy = -2458 meV/atom
! Magnetization = 0.00 Bohr magnetons per cell
&SYSTEM
  ibrav = 0, nat = 19, ntyp = 3
/
ATOMIC_SPECIES
Ac 227.00 Ac.upf
Pt 195.08 Pt.upf
O 16.00 O.upf
CELL_PARAMETERS angstrom
6.706 -3.173 0.000
6.706 3.173 0.000
-2.342 0.000 7.630
ATOMIC_POSITIONS crystal
Ac 0.000 0.000 0.000
Ac 0.304 0.304 0.661
Ac 0.308 0.308 0.144
Ac 0.692 0.692 0.856
Ac 0.696 0.696 0.339
Pt 0.246 0.754 0.500
Pt 0.754 0.246 0.500
O 0.000 0.000 0.338
O 0.000 0.000 0.662
O 0.094 0.599 0.922
O 0.101 0.582 0.421
O 0.401 0.906 0.078
O 0.418 0.899 0.579
O 0.499 0.499 0.663
O 0.501 0.501 0.337
O 0.582 0.101 0.421
O 0.599 0.094 0.922
O 0.899 0.418 0.579
O 0.906 0.401 0.078

---

No. 4
! Ac2PuPt3O12 (PBE-GGA, relaxed); values from VASP
! Space-group type = R-3m
! Uncorrected energy = -0.5269 Ry/atom
! Raw formation energy = -1604 meV/atom
! Magnetization = 1.98 Bohr magnetons per cell
&SYSTEM
  ibrav = 0, nat = 18, ntyp = 4
/
ATOMIC_SPECIES
Ac 227.00 Ac.upf
Pu 244.00 Pu.upf
Pt 195.08 Pt.upf
O 16.00 O.upf
CELL_PARAMETERS angstrom
3.513 2.028 6.032
-3.513 2.028 6.032
0.000 -4.057 6.032
ATOMIC_POSITIONS crystal
Ac 0.101 0.101 0.101
Ac 0.899 0.899 0.899
Pu 0.500 0.500 0.500
Pt 0.000 0.500 0.500
Pt 0.500 0.000 0.500
Pt 0.500 0.500 0.000
O 0.149 0.591 0.591
O 0.152 0.152 0.613
O 0.152 0.613 0.152
O 0.387 0.848 0.848
O 0.409 0.409 0.851
O 0.409 0.851 0.409
O 0.591 0.149 0.591
O 0.591 0.591 0.149
O 0.613 0.152 0.152
O 0.848 0.387 0.848
O 0.848 0.848 0.387
O 0.851 0.409 0.409

---

No. 5
! Rb2AcPtO6 (PBE-GGA, relaxed); values from VASP
! Space-group type = Fm-3m
! Uncorrected energy = -0.4110 Ry/atom
! Raw formation energy = -1409 meV/atom
! Magnetization = 3.03 Bohr magnetons per cell
&SYSTEM
  ibrav = 0, nat = 10, ntyp = 4
/
ATOMIC_SPECIES
Rb 85.47 Rb.upf
Ac 227.00 Ac.upf
Pt 195.08 Pt.upf
O 16.00 O.upf
CELL_PARAMETERS angstrom
0.000 4.418 4.418
4.418 0.000 4.418
4.418 4.418 0.000
ATOMIC_POSITIONS crystal
Rb 0.250 0.250 0.250
Rb 0.750 0.750 0.750
Ac 0.000 0.000 0.000
Pt 0.500 0.500 0.500
O 0.278 0.278 0.722
O 0.278 0.722 0.278
O 0.278 0.722 0.722
O 0.722 0.278 0.278
O 0.722 0.278 0.722
O 0.722 0.722 0.278

---

No. 6
! Rb4Ac3PtO8 (PBE-GGA, relaxed); values from VASP
! Space-group type = C2/m
! Uncorrected energy = -0.4337 Ry/atom
! Raw formation energy = -2032 meV/atom
! Magnetization = 1.09 Bohr magnetons per cell
&SYSTEM
  ibrav = 0, nat = 16, ntyp = 4
/
ATOMIC_SPECIES
Rb 85.47 Rb.upf
Ac 227.00 Ac.upf
Pt 195.08 Pt.upf
O 16.00 O.upf
CELL_PARAMETERS angstrom
6.906 -3.625 0.000
6.906 3.625 0.000
-3.473 0.000 6.787
ATOMIC_POSITIONS crystal
Rb 0.000 0.000 0.000
Rb 0.000 0.500 0.000
Rb 0.500 0.000 0.000
Rb 0.500 0.500 0.000
Ac 0.000 0.000 0.500
Ac 0.000 0.500 0.500
Ac 0.500 0.000 0.500
Pt 0.500 0.500 0.500
O 0.205 0.205 0.683
O 0.206 0.206 0.261
O 0.262 0.672 0.650
O 0.328 0.738 0.350
O 0.672 0.262 0.650
O 0.738 0.328 0.350
O 0.794 0.794 0.739
O 0.795 0.795 0.317

---

No. 7
! Rb2AcPtO4 (PBE-GGA, relaxed); values from VASP
! Space-group type = Fddd
! Uncorrected energy = -0.3931 Ry/atom
! Raw formation energy = -1359 meV/atom
! Magnetization = 0.56 Bohr magnetons per cell
&SYSTEM
  ibrav = 0, nat = 16, ntyp = 4
/
ATOMIC_SPECIES
Rb 85.47 Rb.upf
Ac 227.00 Ac.upf
Pt 195.08 Pt.upf
O 16.00 O.upf
CELL_PARAMETERS angstrom
0.000 7.286 12.317
3.310 0.000 12.317
3.310 7.286 0.000
ATOMIC_POSITIONS crystal
Rb 0.069 0.069 0.681
Rb 0.319 0.319 0.931
Rb 0.681 0.681 0.069
Rb 0.931 0.931 0.319
Ac 0.125 0.125 0.125
Ac 0.875 0.875 0.875
Pt 0.375 0.375 0.375
Pt 0.625 0.625 0.625
O 0.060 0.692 0.499
O 0.249 0.499 0.692
O 0.308 0.940 0.751
O 0.499 0.249 0.060
O 0.501 0.751 0.940
O 0.692 0.060 0.249
O 0.751 0.501 0.308
O 0.940 0.308 0.501

---

No. 8
! RbAc2PtO6 (PBE-GGA, relaxed); values from VASP
! Space-group type = P2_1/c
! Uncorrected energy = -0.4808 Ry/atom
! Raw formation energy = -2044 meV/atom
! Magnetization = 2.11 Bohr magnetons per cell
&SYSTEM
  ibrav = 0, nat = 20, ntyp = 4
/
ATOMIC_SPECIES
Rb 85.47 Rb.upf
Ac 227.00 Ac.upf
Pt 195.08 Pt.upf
O 16.00 O.upf
CELL_PARAMETERS angstrom
5.841 0.000 0.000
0.000 6.566 0.000
-5.805 0.000 9.212
ATOMIC_POSITIONS crystal
Rb 0.000 0.000 0.000
Rb 0.000 0.500 0.500
Ac 0.215 0.008 0.719
Ac 0.215 0.492 0.219
Ac 0.785 0.508 0.781
Ac 0.785 0.992 0.281
Pt 0.500 0.000 0.500
Pt 0.500 0.500 0.000
O 0.196 0.145 0.496
O 0.196 0.355 0.996
O 0.216 0.701 0.853
O 0.216 0.799 0.353
O 0.466 0.172 0.334
O 0.466 0.328 0.834
O 0.534 0.672 0.166
O 0.534 0.828 0.666
O 0.784 0.201 0.647
O 0.784 0.299 0.147
O 0.804 0.645 0.004
O 0.804 0.855 0.504

---

No. 9
! RbAcPtO4 (PBE-GGA, relaxed); values from VASP
! Space-group type = Imma
! Uncorrected energy = -0.4455 Ry/atom
! Raw formation energy = -1639 meV/atom
! Magnetization = 0.00 Bohr magnetons per cell
&SYSTEM
  ibrav = 0, nat = 14, ntyp = 4
/
ATOMIC_SPECIES
Rb 85.47 Rb.upf
Ac 227.00 Ac.upf
Pt 195.08 Pt.upf
O 16.00 O.upf
CELL_PARAMETERS angstrom
-3.305 3.966 4.848
3.305 -3.966 4.848
3.305 3.966 -4.848
ATOMIC_POSITIONS crystal
Rb 0.395 0.145 0.250
Rb 0.605 0.855 0.750
Ac 0.000 0.500 0.500
Ac 0.500 0.500 0.000
Pt 0.000 0.000 0.500
Pt 0.000 0.500 0.000
O 0.158 0.244 0.914
O 0.170 0.756 0.414
O 0.215 0.244 0.529
O 0.215 0.686 0.971
O 0.785 0.314 0.029
O 0.785 0.756 0.471
O 0.830 0.244 0.586
O 0.842 0.756 0.086

---

No. 10
! RbAcPtO3 (PBE-GGA, relaxed); values from VASP
! Space-group type = C2/m
! Uncorrected energy = -0.4576 Ry/atom
! Raw formation energy = -1894 meV/atom
! Magnetization = 0.00 Bohr magnetons per cell
&SYSTEM
  ibrav = 0, nat = 12, ntyp = 4
/
ATOMIC_SPECIES
Rb 85.47 Rb.upf
Ac 227.00 Ac.upf
Pt 195.08 Pt.upf
O 16.00 O.upf
CELL_PARAMETERS angstrom
6.984 -2.030 0.000
6.984 2.030 0.000
-2.254 0.000 7.866
ATOMIC_POSITIONS crystal
Rb 0.138 0.138 0.062
Rb 0.862 0.862 0.938
Ac 0.151 0.151 0.584
Ac 0.849 0.849 0.416
Pt 0.492 0.492 0.718
Pt 0.508 0.508 0.282
O 0.008 0.008 0.319
O 0.335 0.335 0.631
O 0.353 0.353 0.221
O 0.647 0.647 0.779
O 0.665 0.665 0.369
O 0.992 0.992 0.681

---

No. 11
! RbAc4Pt3O12 (PBE-GGA, relaxed); values from VASP
! Space-group type = Im-3
! Uncorrected energy = -0.4908 Ry/atom
! Raw formation energy = -1927 meV/atom
! Magnetization = 5.08 Bohr magnetons per cell
&SYSTEM
  ibrav = 0, nat = 20, ntyp = 4
/
ATOMIC_SPECIES
Rb 85.47 Rb.upf
Ac 227.00 Ac.upf
Pt 195.08 Pt.upf
O 16.00 O.upf
CELL_PARAMETERS angstrom
-4.438 4.438 4.438
4.438 -4.438 4.438
4.438 4.438 -4.438
ATOMIC_POSITIONS crystal
Rb 0.000 0.000 0.000
Ac 0.000 0.000 0.500
Ac 0.000 0.500 0.000
Ac 0.500 0.000 0.000
Ac 0.500 0.500 0.500
Pt 0.000 0.500 0.500
Pt 0.500 0.000 0.500
Pt 0.500 0.500 0.000
O 0.150 0.335 0.486
O 0.150 0.665 0.815
O 0.185 0.850 0.335
O 0.335 0.185 0.850
O 0.335 0.486 0.150
O 0.486 0.150 0.335
O 0.514 0.850 0.665
O 0.665 0.514 0.850
O 0.665 0.815 0.150
O 0.815 0.150 0.665
O 0.850 0.335 0.185
O 0.850 0.665 0.514

---

No. 12
! Rb3Ac2PtO6 (PBE-GGA, relaxed); values from VASP
! Space-group type = C2/m
! Uncorrected energy = -0.4256 Ry/atom
! Raw formation energy = -1882 meV/atom
! Magnetization = 1.10 Bohr magnetons per cell
&SYSTEM
  ibrav = 0, nat = 12, ntyp = 4
/
ATOMIC_SPECIES
Rb 85.47 Rb.upf
Ac 227.00 Ac.upf
Pt 195.08 Pt.upf
O 16.00 O.upf
CELL_PARAMETERS angstrom
3.605 -5.287 0.000
3.605 5.287 0.000
-3.505 0.000 6.610
ATOMIC_POSITIONS crystal
Rb 0.000 0.000 0.000
Rb 0.341 0.659 0.000
Rb 0.659 0.341 0.000
Ac 0.165 0.835 0.500
Ac 0.835 0.165 0.500
Pt 0.500 0.500 0.500
O 0.143 0.424 0.361
O 0.177 0.177 0.747
O 0.424 0.143 0.361
O 0.576 0.857 0.639
O 0.823 0.823 0.253
O 0.857 0.576 0.639